Record 1
CeCdBi2 (PBE-GGA, optimized geometry); E = -16.0 eV/cell; SG = P4/mmm (123); DOS(E_F) = 6.7 states/eV/cell; energy relative to the elements = -0.34 eV/atom; M_tot = 0.8 μB per cell; crystal system = tetragonal
1.0
4.209 0.000 0.000
0.000 4.209 0.000
0.000 0.000 6.748
Ce Cd Bi
1 1 2
direct
0.000 0.000 0.000 Ce
0.000 0.000 0.500 Cd
0.500 0.500 0.239 Bi
0.500 0.500 0.761 Bi

=====

Record 2
Ce2CdBi3 (PBE-GGA, optimized geometry); E = -27.8 eV/cell; SG = Cmmm (65); DOS(E_F) = 11.9 states/eV/cell; energy relative to the elements = -0.56 eV/atom; relative energy among the computed polymorphs = 0.00 eV/f.u.; M_tot = 1.6 μB per cell; crystal system = orthorhombic
1.0
2.232 -8.251 0.000
2.232 8.251 0.000
0.000 0.000 4.786
Ce Cd Bi
2 1 3
direct
0.147 0.853 0.000 Ce
0.853 0.147 0.000 Ce
0.000 0.000 0.500 Cd
0.327 0.673 0.500 Bi
0.500 0.500 0.000 Bi
0.673 0.327 0.500 Bi